A plane-wave DFT calculation with PBE was carried out for a geometry-optimized YHo4Tm4 structure.

Lattice parameters (Å, degrees): 4.961 7.860 7.860 84.28 71.60 71.60
Fractional positions:
Tm: 0.334 0.666 0.666
Tm: 0.666 0.334 0.334
Tm: 0.000 0.666 0.334
Tm: 0.000 0.334 0.666
Y: 0.000 0.000 0.000
Ho: 0.333 0.335 0.000
Ho: 0.667 0.665 0.000
Ho: 0.332 0.000 0.335
Ho: 0.668 0.000 0.665

**SG**: I4/mmm (139)
**M_tot**: 0.000 μB/f.u.
**Formation energy**: 25 meV/atom
**Total DFT energy (no corrections)**: -4.72 eV per atom